1.
PBE DyEr2Si2Pt7, relaxed; uncorrected formation energy = -1.12 eV/atom
1.0
-3.618 1.376 -1.098
-0.158 -2.693 -2.985
-7.371 -9.427 6.813
Pt Si Er Dy
7 2 2 1
Direct
0.361 0.361 0.430
0.063 0.563 0.837
0.563 0.063 0.837
0.437 0.937 0.163
0.639 0.639 0.570
0.500 0.500 0.000
0.937 0.437 0.163
0.400 0.400 0.259
0.600 0.600 0.741
0.122 0.122 0.643
0.878 0.878 0.357
0.000 0.000 0.000

2.
PBE Sm2Er9Tm, relaxed; energy of formation from the pure elements = 0.02 eV/atom; energy above the lowest structure with this stoichiometry = 0.00 eV per formula unit
1.0
4.985 0.000 0.000
0.000 4.985 0.000
0.000 0.000 14.948
Er Tm Sm
9 1 2
Direct
0.000 0.500 0.500
0.500 0.000 0.500
0.500 0.000 0.165
0.000 0.500 0.165
0.500 0.500 0.000
0.500 0.000 0.835
0.000 0.500 0.835
0.500 0.500 0.668
0.500 0.500 0.332
0.000 0.000 0.000
0.000 0.000 0.667
0.000 0.000 0.333

3.
PBE Li2MnTlN, relaxed; uncorrected formation energy = -0.25 eV/atom
1.0
-0.863 -1.926 3.787
4.248 -0.433 0.748
0.040 3.326 1.701
Li Mn Tl N
2 1 1 1
Direct
0.000 0.500 0.000
0.500 0.000 0.000
0.000 0.000 0.500
0.500 0.500 0.500
0.000 0.000 0.000

4.
PBE CoAs2Se, relaxed; uncorrected formation energy = 0.21 eV/atom
1.0
-1.652 -0.451 -4.175
1.889 -3.867 1.355
-3.126 -3.249 -0.006
As Co Se
2 1 1
Direct
0.000 0.000 0.000
0.500 0.500 0.000
0.500 0.000 0.500
0.000 0.500 0.500

5.
PBE ZrOs2Pt, relaxed; energy of formation from the pure elements = -0.07 eV/atom
1.0
4.760 0.022 0.000
-1.414 4.545 0.000
0.000 0.000 2.989
Zr Pt Os
1 1 2
Direct
0.000 0.500 0.500
0.500 0.000 0.500
0.000 0.000 0.000
0.500 0.500 0.000

6.
PBE LiBe2B4, relaxed; energy of formation from the pure elements = 0.04 eV/atom
1.0
2.905 0.000 -0.662
-0.160 3.005 -0.702
-0.091 -0.122 6.301
Be B Li
2 4 1
Direct
0.812 0.812 0.625
0.188 0.188 0.375
0.358 0.358 0.715
0.642 0.642 0.285
0.077 0.577 0.153
0.923 0.423 0.847
0.500 0.000 0.000

7.
PBE Tm8ZnAu2, relaxed; energy of formation from the pure elements = -0.39 eV/atom
1.0
-1.418 3.780 3.028
-6.500 -1.840 -0.747
3.775 -6.272 5.393
Tm Au Zn
8 2 1
Direct
0.199 0.314 0.398
0.593 0.457 0.186
0.030 0.781 0.060
0.333 0.028 0.666
0.970 0.219 0.940
0.667 0.972 0.334
0.407 0.543 0.814
0.801 0.686 0.602
0.815 0.280 0.630
0.185 0.720 0.370
0.500 0.000 0.000

8.
PBE LiU2Si3Pt12, relaxed; uncorrected formation energy = -0.44 eV/atom
1.0
7.464 -0.393 -0.279
3.344 6.684 -0.279
3.344 1.947 6.400
Pt U Si Li
12 2 3 1
Direct
0.622 0.143 0.143
0.636 0.109 0.636
0.109 0.636 0.636
0.364 0.891 0.364
0.857 0.378 0.857
0.143 0.143 0.622
0.891 0.364 0.364
0.364 0.364 0.891
0.143 0.622 0.143
0.857 0.857 0.378
0.378 0.857 0.857
0.636 0.636 0.109
0.386 0.386 0.386
0.614 0.614 0.614
0.000 0.500 0.000
0.000 0.000 0.500
0.500 0.000 0.000
0.000 0.000 0.000

9.
PBE K2In3Pt2, relaxed; energy of formation from the pure elements = -0.37 eV/atom
1.0
-0.775 4.097 1.518
-1.352 -0.315 -6.325
-5.424 -3.019 5.379
K In Pt
2 3 2
Direct
0.852 0.703 0.217
0.148 0.297 0.783
0.500 0.000 0.000
0.646 0.291 0.445
0.354 0.709 0.555
0.119 0.238 0.215
0.881 0.762 0.785

10.
PBE NaB4As3O12, relaxed; uncorrected formation energy = -1.67 eV/atom
1.0
6.244 0.060 0.084
-1.446 6.075 0.084
-1.446 -1.849 5.787
O Na As B
12 1 3 4
Direct
0.390 0.986 0.219
0.500 0.358 0.642
0.091 0.909 0.500
0.500 0.091 0.909
0.358 0.642 0.500
0.909 0.500 0.091
0.219 0.390 0.986
0.014 0.610 0.781
0.610 0.781 0.014
0.781 0.014 0.610
0.642 0.500 0.358
0.986 0.219 0.390
0.000 0.000 0.000
0.538 0.462 0.000
0.000 0.538 0.462
0.462 0.000 0.538
0.051 0.500 0.949
0.949 0.051 0.500
0.500 0.500 0.500
0.500 0.949 0.051

11.
PBE Pr4Zn2H, relaxed; E = -3.770 eV/atom
1.0
4.888 0.000 0.000
0.000 4.888 0.000
2.444 2.444 7.670
Pr H Zn
4 1 2
Direct
0.187 0.187 0.626
0.000 0.500 0.000
0.500 0.000 0.000
0.813 0.813 0.374
0.000 0.000 0.000
0.376 0.376 0.248
0.624 0.624 0.752

12.
PBE InBiPb2, relaxed; energy of formation from the pure elements = 0.04 eV/atom; energy above the lowest structure with this stoichiometry = 0.11 eV per formula unit
1.0
5.376 0.000 -2.341
-1.236 4.978 -2.840
-0.854 -0.594 5.383
Pb Bi In
2 1 1
Direct
0.250 0.750 0.501
0.000 0.000 0.999
0.750 0.250 0.501
0.500 0.500 0.999